# 1
Compound: KCdHgAu2
Source: Alexandria
Functional: GGA-PBE
Structure: optimized geometry

Properties
Its formation energy is -93.8 kJ/mol of formula units. The value obtained for the mass density is 9.5 g/cm3. The density of states at the Fermi level is 1.12 states/eV/cell.

a = 4.451 Å, b = 4.361 Å, c = 7.382 Å
α = 107.18°, β = 107.55°, γ = 90.00°
Fractional positions:
1 Cd 0.186 0.686 0.372
2 Hg 0.838 0.838 0.675
3 Au 0.048 0.048 0.097
4 Au 0.687 0.187 0.374
5 K 0.453 0.453 0.906

---

# 2
Compound: K2CdHgAu
Source: Alexandria
Functional: GGA-PBE
Structure: optimized geometry

Properties
Its formation energy is -64.4 kJ/mol of formula units. The value obtained for the mass density is 4.6 g/cm3. The density of states at the Fermi level is 3.34 states/eV/cell.

a = 6.282 Å, b = 6.282 Å, c = 5.381 Å
α = 90.00°, β = 90.00°, γ = 90.00°
Fractional positions:
1 Hg 0.500 0.500 0.500
2 Cd 0.000 0.000 0.500
3 K 0.000 0.500 0.000
4 K 0.500 0.000 0.000
5 Au 0.000 0.000 0.000

---

# 3
Compound: K2Cd12HgAu3
Source: Alexandria
Functional: GGA-PBE
Structure: optimized geometry

Properties
Its formation energy is 88.6 kJ/mol of formula units. The value obtained for the mass density is 6.2 g/cm3. The density of states at the Fermi level is 5.05 states/eV/cell.

a = 9.040 Å, b = 9.040 Å, c = 9.040 Å
α = 66.11°, β = 66.11°, γ = 66.11°
Fractional positions:
1 Cd 0.133 0.638 0.133
2 Cd 0.867 0.362 0.867
3 Cd 0.666 0.006 0.666
4 Cd 0.362 0.867 0.867
5 Cd 0.334 0.334 0.994
6 Cd 0.638 0.133 0.133
7 Cd 0.867 0.867 0.362
8 Cd 0.666 0.666 0.006
9 Cd 0.334 0.994 0.334
10 Cd 0.994 0.334 0.334
11 Cd 0.133 0.133 0.638
12 Cd 0.006 0.666 0.666
13 Hg 0.000 0.000 0.000
14 Au 0.000 0.000 0.500
15 Au 0.000 0.500 0.000
16 Au 0.500 0.000 0.000
17 K 0.402 0.402 0.402
18 K 0.598 0.598 0.598

---

# 4
Compound: K2Cd3HgAu4
Source: Alexandria
Functional: GGA-PBE
Structure: optimized geometry

Properties
Its formation energy is -216.6 kJ/mol of formula units. The value obtained for the mass density is 8.6 g/cm3. The density of states at the Fermi level is 3.91 states/eV/cell.

a = 5.006 Å, b = 5.006 Å, c = 10.842 Å
α = 90.00°, β = 90.00°, γ = 90.00°
Fractional positions:
1 Au 0.000 0.500 0.372
2 Au 0.500 0.000 0.628
3 Au 0.500 0.500 0.000
4 Au 0.000 0.000 0.000
5 Hg 0.500 0.500 0.500
6 Cd 0.500 0.000 0.881
7 Cd 0.000 0.500 0.119
8 Cd 0.000 0.000 0.500
9 K 0.500 0.000 0.244
10 K 0.000 0.500 0.756

---

# 5
Compound: K2CdHg3Au4
Source: Alexandria
Functional: GGA-PBE
Structure: optimized geometry

Properties
Its formation energy is -178.2 kJ/mol of formula units. The value obtained for the mass density is 9.6 g/cm3. The density of states at the Fermi level is 4.20 states/eV/cell.

a = 4.812 Å, b = 4.812 Å, c = 11.815 Å
α = 90.00°, β = 90.00°, γ = 90.00°
Fractional positions:
1 K 0.000 0.500 0.762
2 K 0.500 0.000 0.238
3 Cd 0.500 0.500 0.500
4 Au 0.500 0.000 0.633
5 Au 0.000 0.500 0.367
6 Au 0.500 0.500 0.000
7 Au 0.000 0.000 0.000
8 Hg 0.500 0.000 0.868
9 Hg 0.000 0.000 0.500
10 Hg 0.000 0.500 0.132

---

# 6
Compound: K2CdHgAu
Source: Alexandria
Functional: GGA-PBE
Structure: optimized geometry

Properties
Its formation energy is -39.8 kJ/mol of formula units. The value obtained for the mass density is 4.6 g/cm3. The density of states at the Fermi level is 3.57 states/eV/cell.

a = 6.302 Å, b = 6.302 Å, c = 5.382 Å
α = 90.00°, β = 90.00°, γ = 90.00°
Fractional positions:
1 Hg 0.000 0.000 0.500
2 K 0.000 0.500 0.000
3 K 0.500 0.000 0.000
4 Au 0.000 0.000 0.000
5 Cd 0.500 0.500 0.500

---

# 7
Compound: K2Cd4HgAu3
Source: Alexandria
Functional: GGA-PBE
Structure: optimized geometry

Properties
Its formation energy is -204.4 kJ/mol of formula units. The value obtained for the mass density is 7.9 g/cm3. The density of states at the Fermi level is 6.12 states/eV/cell.

a = 4.948 Å, b = 4.948 Å, c = 11.346 Å
α = 90.00°, β = 90.00°, γ = 90.00°
Fractional positions:
1 Cd 0.000 0.000 0.000
2 Cd 0.000 0.500 0.365
3 Cd 0.500 0.500 0.000
4 Cd 0.500 0.000 0.635
5 Au 0.000 0.000 0.500
6 Au 0.000 0.500 0.123
7 Au 0.500 0.000 0.877
8 K 0.500 0.000 0.250
9 K 0.000 0.500 0.750
10 Hg 0.500 0.500 0.500

---

# 8
Compound: K2CdHg6Au
Source: Alexandria
Functional: GGA-PBE
Structure: optimized geometry

Properties
Its formation energy is -112.1 kJ/mol of formula units. The value obtained for the mass density is 7.5 g/cm3. The density of states at the Fermi level is 4.27 states/eV/cell.

a = 7.995 Å, b = 7.975 Å, c = 6.963 Å
α = 64.04°, β = 63.93°, γ = 88.76°
Fractional positions:
1 K 0.255 0.745 0.500
2 K 0.745 0.255 0.500
3 Cd 0.500 0.500 0.000
4 Hg 0.247 0.753 0.000
5 Hg 0.762 0.762 0.979
6 Hg 0.753 0.753 0.493
7 Hg 0.238 0.238 0.021
8 Hg 0.753 0.247 0.000
9 Hg 0.247 0.247 0.507
10 Au 0.000 0.000 0.000